! PmAsHRu PBE optimized geometry; values from VASP
! Magnetization, μB per cell: 0.00
! Space-group type: P4/nmm, No. 129
! Raw total energy, eV per atom: -6.3025
&SYSTEM
  ibrav = 0, nat = 8, ntyp = 4
/
ATOMIC_SPECIES
Ru 101.07 Ru.upf
H 1.01 H.upf
As 74.92 As.upf
Pm 145.00 Pm.upf
CELL_PARAMETERS angstrom
-3.016 -0.075 -2.840
2.242 -2.605 -2.313
-3.155 -5.827 3.504
ATOMIC_POSITIONS angstrom
Ru 0.000 0.000 0.000
Ru -0.387 -1.340 -2.576
H -1.964 -4.253 -0.824
H -1.577 -2.913 1.752
As -1.475 -6.097 1.727
As -2.067 -1.070 -0.799
Pm 0.068 -3.247 0.013
Pm -3.610 -3.920 0.915